(1)
First-principles (PBE) data for a geometry-optimized SrLi2GePd structure, as listed in the Alexandria database.

```
SrLi2GePd
1.0
-4.710 -0.146 0.982
-0.901 -1.369 -4.526
0.421 -4.667 1.328
Li Ge Sr Pd
2 1 1 1
Cartesian
-2.355 -0.073 0.491
-0.451 -0.684 -2.263
0.000 0.000 0.000
-2.595 -3.091 -1.108
0.211 -2.334 0.664
```

N(E_F), states/eV/cell: 1.83
Magnetization, μB per formula unit: 0.0
Crystal system: tetragonal

---

(2)
First-principles (PBE) data for a geometry-optimized SrLi2GePd structure, as listed in the Alexandria database.

```
SrLi2GePd
1.0
-3.944 -0.862 2.718
-2.674 -0.492 -4.037
0.977 -4.705 -0.073
Sr Li Pd Ge
1 2 1 1
Cartesian
-2.821 -3.029 -0.696
-1.337 -0.246 -2.018
-1.972 -0.431 1.359
0.000 0.000 0.000
0.489 -2.353 -0.037
```

N(E_F), states/eV/cell: 2.49
Magnetization, μB per formula unit: 0.3
Crystal system: tetragonal

---

(2) ends up most stable, edging out the next structure by 15 meV/atom.

---

(1)
First-principles (PBE) data for a geometry-optimized LiPmGe structure, as listed in the Alexandria database.

```
LiPmGe
1.0
3.781 0.000 0.000
0.000 4.458 0.000
0.000 -2.229 3.860
Li Ge Pm
1 1 1
Cartesian
0.630 2.229 1.287
0.630 0.000 0.000
2.521 0.000 2.574
```

N(E_F), states/eV/cell: 1.50
Magnetization, μB per formula unit: 0.2
Crystal system: hexagonal

---

(2)
First-principles (PBE) data for a geometry-optimized LiPmGe structure, as listed in the Alexandria database.

```
LiPmGe
1.0
4.773 0.000 0.000
2.386 4.133 0.000
2.386 1.378 3.897
Pm Ge Li
1 1 1
Cartesian
4.773 2.755 1.948
2.386 1.378 0.974
0.000 0.000 0.000
```

Magnetization, μB per formula unit: 0.0
Crystal system: cubic

---

(3)
First-principles (PBE) data for a geometry-optimized LiPmGe structure, as listed in the Alexandria database.

```
LiPmGe
1.0
-3.205 -0.737 2.799
-1.530 -3.113 -2.572
3.971 -4.688 3.313
Ge Pm Li
2 2 2
Cartesian
0.281 -2.791 -0.413
1.323 -3.822 3.840
2.507 -5.420 1.444
-0.903 -1.194 1.983
-0.382 -4.269 1.770
1.986 -2.344 1.657
```

N(E_F), states/eV/cell: 1.95
Magnetization, μB per formula unit: 0.0
Crystal system: tetragonal

---

(4)
First-principles (PBE) data for a geometry-optimized LiPmGe structure, as listed in the Alexandria database.

```
LiPmGe
1.0
-0.612 -4.197 1.078
-1.277 -1.607 -6.983
12.073 -2.218 -1.775
Ge Pm Li
6 6 6
Cartesian
5.459 -5.648 -5.560
4.725 -2.375 -2.120
1.911 -2.776 -5.279
8.272 -5.246 -2.400
9.814 -4.277 -6.632
0.369 -3.746 -1.048
3.358 -4.798 -3.447
6.825 -3.224 -4.233
-0.345 -4.390 -3.960
7.009 -4.177 -7.838
10.528 -3.633 -3.720
3.175 -3.845 0.159
8.335 -5.969 -5.178
0.922 -1.250 0.099
9.261 -6.773 -7.779
1.849 -2.053 -2.501
4.300 -3.433 -6.479
5.883 -4.590 -1.201
```

N(E_F), states/eV/cell: 2.36
Magnetization, μB per formula unit: 0.0
Crystal system: monoclinic

---

(4) ends up most stable, edging out the next structure by 17 meV/atom.

---

(1)
First-principles (PBE) data for a geometry-optimized Li3GePt structure, as listed in the Alexandria database.

```
Li3GePt
1.0
-2.350 -3.351 -1.930
-0.080 -2.216 3.945
-3.867 2.082 1.092
Pt Li Ge
1 3 1
Cartesian
-3.148 -1.742 1.553
-0.040 -1.108 1.972
-1.175 -1.676 -0.965
-1.933 1.041 0.546
0.000 0.000 0.000
```

N(E_F), states/eV/cell: 4.64
Magnetization, μB per formula unit: 0.0
Crystal system: cubic

---

(2)
First-principles (PBE) data for a geometry-optimized Li3GePt structure, as listed in the Alexandria database.

```
Li3GePt
1.0
-3.845 2.576 -0.837
-7.973 -0.668 -0.871
3.474 0.946 4.665
Ge Li Pt
1 3 1
Cartesian
0.000 0.000 0.000
-2.250 0.139 1.897
1.737 0.473 2.333
-3.987 -0.334 -0.435
-1.922 1.288 -0.419
```

N(E_F), states/eV/cell: 1.85
Magnetization, μB per formula unit: 0.0
Crystal system: monoclinic

---

(3)
First-principles (PBE) data for a geometry-optimized Li3GePt structure, as listed in the Alexandria database.

```
Li3GePt
1.0
4.629 0.000 0.000
0.000 4.629 0.000
0.000 0.000 4.629
Li Ge Pt
3 1 1
Cartesian
0.000 0.000 2.315
0.000 2.315 0.000
2.315 0.000 0.000
2.315 2.315 2.315
0.000 0.000 0.000
```

N(E_F), states/eV/cell: 1.82
Magnetization, μB per formula unit: 0.0
Crystal system: cubic

---

(2) ends up most stable, edging out the next structure by 476 meV/atom.

---

(1)
First-principles (PBE) data for a geometry-optimized Li3Ge4Pt2 structure, as listed in the Alexandria database.

```
Li3Ge4Pt2
1.0
-3.741 2.055 -0.973
-4.396 -2.682 1.390
-2.225 3.430 5.948
Ge Li Pt
4 3 2
Cartesian
-2.675 1.530 3.667
-2.752 -0.220 0.265
-7.611 3.023 6.099
-7.688 1.273 2.698
0.000 0.000 0.000
-5.643 1.221 4.574
-4.720 1.582 1.790
-4.137 3.583 3.775
-6.226 -0.780 2.589
```

N(E_F), states/eV/cell: 2.91
Magnetization, μB per formula unit: 0.0
Crystal system: monoclinic

---

(2)
First-principles (PBE) data for a geometry-optimized Li3Ge4Pt2 structure, as listed in the Alexandria database.

```
Li3Ge4Pt2
1.0
-4.142 -0.880 -0.176
3.155 -4.383 -1.305
-0.402 0.319 7.873
Li Pt Ge
3 2 4
Cartesian
0.693 -3.544 1.398
-2.083 -1.400 4.993
0.000 0.000 0.000
-1.816 -2.110 2.251
0.426 -2.834 4.140
0.007 -0.618 2.920
0.208 -2.279 6.506
-1.397 -4.326 3.472
-1.597 -2.666 -0.114
```

N(E_F), states/eV/cell: 2.45
Magnetization, μB per formula unit: 0.0
Crystal system: monoclinic

---

(1) ends up most stable, edging out the next structure by 100 meV/atom.

---

(1)
First-principles (PBE) data for a geometry-optimized Li3Ge2Pt4 structure, as listed in the Alexandria database.

```
Li3Ge2Pt4
1.0
-1.121 4.098 0.695
-2.356 0.902 3.300
6.693 1.531 4.358
Li Pt Ge
3 4 2
Cartesian
1.356 4.176 5.055
0.000 0.000 0.000
1.860 2.355 3.298
3.666 4.655 6.572
-0.187 1.450 4.699
3.403 5.080 3.655
-0.449 1.876 1.781
-0.845 3.716 3.610
4.061 2.815 4.743
```

N(E_F), states/eV/cell: 1.94
Magnetization, μB per formula unit: 0.0
Crystal system: monoclinic

---

(2)
First-principles (PBE) data for a geometry-optimized Li3Ge2Pt4 structure, as listed in the Alexandria database.

```
Li3Ge2Pt4
1.0
-2.007 -0.816 -4.207
-5.119 -4.492 3.312
-5.254 5.246 1.489
Li Pt Ge
6 8 4
Cartesian
-3.149 0.025 -3.825
-9.230 -0.087 4.419
-2.125 -1.084 -1.437
-10.255 1.023 2.032
-5.688 0.173 1.349
-6.691 -0.234 -0.754
-8.801 -1.813 -0.773
-3.579 1.752 1.367
-4.437 -2.388 2.580
-4.541 -1.642 -0.177
-7.942 2.327 -1.985
-7.839 1.581 0.772
-6.863 -2.692 1.134
-5.516 2.631 -0.540
-8.553 -0.829 1.580
-2.796 -0.767 1.482
-9.584 0.706 -0.888
-3.826 0.768 -0.985
```

N(E_F), states/eV/cell: 7.72
Magnetization, μB per formula unit: 0.0
Crystal system: orthorhombic

---

(1) ends up most stable, edging out the next structure by 89 meV/atom.

---

(1)
First-principles (PBE) data for a geometry-optimized LiGePt3 structure, as listed in the Alexandria database.

```
LiGePt3
1.0
-4.364 -2.306 -1.071
2.799 -6.198 1.941
-1.479 0.627 4.135
Li Ge Pt
2 2 6
Cartesian
-3.029 -2.303 3.457
-0.014 -5.575 1.547
-1.885 -5.879 3.273
-1.159 -1.998 1.732
-2.171 -6.796 0.759
-2.564 -4.220 1.534
-0.873 -1.082 4.246
0.578 -6.000 4.204
-0.479 -3.658 3.470
-3.622 -1.878 0.801
```

N(E_F), states/eV/cell: 4.16
Magnetization, μB per formula unit: 0.0
Crystal system: monoclinic

---

(2)
First-principles (PBE) data for a geometry-optimized LiGePt3 structure, as listed in the Alexandria database.

```
LiGePt3
1.0
-1.003 -4.566 -0.093
0.880 -0.287 4.583
-4.481 0.965 0.921
Pt Li Ge
3 1 1
Cartesian
0.440 -0.143 2.292
-2.241 0.483 0.461
-0.501 -2.283 -0.047
-2.302 -1.944 2.706
0.000 0.000 0.000
```

N(E_F), states/eV/cell: 4.67
Magnetization, μB per formula unit: 0.0
Crystal system: cubic

---

(1) ends up most stable, edging out the next structure by 581 meV/atom.

---

(1)
First-principles (PBE) data for a geometry-optimized LiGe2Pt4 structure, as listed in the Alexandria database.

```
LiGe2Pt4
1.0
4.190 0.000 0.000
0.000 6.421 0.000
0.000 0.000 16.518
Pt Ge Li
16 8 4
Cartesian
3.143 0.101 1.051
1.048 0.658 11.740
1.048 3.312 7.207
3.143 5.763 4.777
1.048 2.207 0.653
1.048 6.035 2.874
1.048 2.552 3.481
1.048 6.320 15.466
1.048 3.596 11.133
3.143 4.214 15.864
3.143 3.869 13.036
1.048 1.004 8.912
3.143 3.109 9.310
3.143 2.825 5.385
3.143 0.386 13.643
3.143 5.417 7.606
1.048 4.974 9.067
3.143 1.928 11.487
1.048 5.139 13.290
3.143 1.447 7.451
3.143 1.282 3.228
1.048 4.657 0.808
3.143 1.764 15.710
1.048 4.493 5.031
1.048 2.353 13.982
3.143 4.068 2.536
3.143 5.563 10.795
1.048 0.858 5.723
```

N(E_F), states/eV/cell: 9.90
Magnetization, μB per formula unit: 0.0
Crystal system: orthorhombic

---

(2)
First-principles (PBE) data for a geometry-optimized LiGe2Pt4 structure, as listed in the Alexandria database.

```
LiGe2Pt4
1.0
-4.122 -1.229 -3.514
-2.643 0.030 5.891
2.319 6.795 -1.219
Pt Ge Li
8 4 2
Cartesian
-3.746 0.391 -2.143
-0.471 2.605 -1.110
-2.147 0.226 2.162
-1.797 3.960 -3.257
-4.700 0.239 0.571
-4.192 2.962 -0.021
-2.075 5.361 1.657
0.085 5.473 -1.518
0.028 4.201 0.878
-2.326 4.491 -0.791
-4.279 1.424 2.744
-2.327 1.241 -0.137
-2.033 2.863 2.269
-2.667 0.019 5.062
```

N(E_F), states/eV/cell: 5.54
Magnetization, μB per formula unit: 0.0
Crystal system: triclinic

---

(1) ends up most stable, edging out the next structure by 55 meV/atom.

---

(1)
First-principles (PBE) data for a geometry-optimized Li2PuGe2 structure, as listed in the Alexandria database.

```
Li2PuGe2
1.0
-2.907 -2.802 0.404
2.400 -2.747 -1.782
4.154 -2.868 10.010
Ge Pu Li
4 2 4
Cartesian
4.025 -4.254 9.665
-0.378 -4.163 -1.034
-0.153 -3.774 3.296
3.800 -4.643 5.335
2.051 -3.436 1.120
1.595 -4.981 7.512
4.693 -5.259 7.489
-1.046 -3.158 1.142
1.950 -2.821 4.661
1.697 -5.596 3.970
```

N(E_F), states/eV/cell: 23.29
Magnetization, μB per formula unit: 5.0
Crystal system: tetragonal

---

(2)
First-principles (PBE) data for a geometry-optimized Li2PuGe2 structure, as listed in the Alexandria database.

```
Li2PuGe2
1.0
0.204 -3.339 2.329
4.003 0.589 0.494
-3.152 4.575 3.268
Pu Ge Li
1 2 2
Cartesian
0.000 0.000 0.000
-0.825 2.517 3.680
1.880 -0.691 2.411
-0.422 -0.069 3.504
1.477 1.895 2.587
```

N(E_F), states/eV/cell: 11.81
Magnetization, μB per formula unit: 5.4
Crystal system: tetragonal

---

(2) ends up most stable, edging out the next structure by 71 meV/atom.

---

(1)
First-principles (PBE) data for a geometry-optimized LiPuGe2 structure, as listed in the Alexandria database.

```
LiPuGe2
1.0
-4.682 -0.696 0.832
-1.610 -4.378 1.155
-1.541 -0.894 4.464
Ge Pu Li
2 1 1
Cartesian
-5.875 -4.476 4.838
-1.958 -1.492 1.612
-3.916 -2.984 3.225
0.000 0.000 0.000
```

N(E_F), states/eV/cell: 9.79
Magnetization, μB per formula unit: 5.0
Crystal system: cubic

---

(2)
First-principles (PBE) data for a geometry-optimized LiPuGe2 structure, as listed in the Alexandria database.

```
LiPuGe2
1.0
3.904 0.000 0.000
0.000 7.856 0.000
0.000 0.000 10.425
Pu Ge Li
4 8 4
Cartesian
0.976 4.969 6.633
0.976 1.041 9.004
2.928 6.815 1.421
2.928 2.887 3.792
2.928 2.072 0.634
2.928 6.000 4.578
0.976 5.784 9.791
0.976 1.856 5.847
2.928 2.716 7.198
0.976 5.140 3.228
0.976 1.212 1.985
2.928 6.645 8.440
2.928 4.050 9.354
0.976 3.806 1.071
2.928 0.122 6.283
0.976 7.734 4.142
```

N(E_F), states/eV/cell: 37.49
Magnetization, μB per formula unit: 5.4
Crystal system: orthorhombic

---

(3)
First-principles (PBE) data for a geometry-optimized LiPuGe2 structure, as listed in the Alexandria database.

```
LiPuGe2
1.0
4.136 0.000 0.000
0.000 4.336 0.000
0.000 0.000 4.336
Li Pu Ge
1 1 2
Cartesian
2.068 0.000 0.000
2.068 2.168 2.168
0.000 0.000 2.168
0.000 2.168 0.000
```

N(E_F), states/eV/cell: 9.14
Magnetization, μB per formula unit: 5.3
Crystal system: tetragonal

---

(2) ends up most stable, edging out the next structure by 80 meV/atom.